(1)
Entry from Alexandria via LeMat-Bulk: crystalline LaPm3Er7 at its relaxed geometry (PBE).

Geometry as CIF:
```
data_LaPm3Er7
_symmetry_space_group_name_H-M 'I m m m'
_symmetry_Int_Tables_number 71
_symmetry_space_group_name_Hall '-I 2 2'
_cell_length_a 5.837
_cell_length_b 11.182
_cell_length_c 11.228
_cell_angle_alpha 90.00
_cell_angle_beta 90.00
_cell_angle_gamma 90.00
loop_
_atom_site_label
_atom_site_fract_x
_atom_site_fract_y
_atom_site_fract_z
La1 0.000 0.000 0.000
Pm1 0.000 0.000 0.500
Pm2 0.000 0.500 0.211
Er1 0.000 0.213 0.309
Er2 0.000 0.297 0.000
Er3 0.000 0.500 0.500
```

Its excess energy over the best structure of this formula in the dataset is 106 meV/atom.

---

(2)
Entry from Alexandria via LeMat-Bulk: crystalline UCoOs at its relaxed geometry (PBE).

Geometry as CIF:
```
data_UCoOs
_symmetry_space_group_name_H-M 'I m m a'
_symmetry_Int_Tables_number 74
_symmetry_space_group_name_Hall '-I 2b 2'
_cell_length_a 4.815
_cell_length_b 5.343
_cell_length_c 7.357
_cell_angle_alpha 90.00
_cell_angle_beta 90.00
_cell_angle_gamma 90.00
loop_
_atom_site_label
_atom_site_fract_x
_atom_site_fract_y
_atom_site_fract_z
U1 0.000 0.250 0.134
Co1 0.250 0.250 0.750
Os1 0.000 0.000 0.500
```

Its excess energy over the best structure of this formula in the dataset is 0 meV/atom.

---

(3)
Entry from Alexandria via LeMat-Bulk: crystalline SrFe2Se at its relaxed geometry (PBE).

Geometry as CIF:
```
data_SrFe2Se
_symmetry_space_group_name_H-M 'I -4 m 2'
_symmetry_Int_Tables_number 119
_symmetry_space_group_name_Hall 'I -4 -2'
_cell_length_a 4.834
_cell_length_b 4.834
_cell_length_c 6.828
_cell_angle_alpha 90.00
_cell_angle_beta 90.00
_cell_angle_gamma 90.00
loop_
_atom_site_label
_atom_site_fract_x
_atom_site_fract_y
_atom_site_fract_z
Sr1 0.000 0.000 0.000
Fe1 0.000 0.000 0.500
Fe2 0.000 0.500 0.750
Se1 0.000 0.500 0.250
```

The formation energy without anion corrections is 1.5 eV/f.u.

---

(4)
Entry from Alexandria via LeMat-Bulk: crystalline VSiN2 at its relaxed geometry (PBE).

Geometry as CIF:
```
data_VSiN2
_symmetry_space_group_name_H-M 'P n a 21'
_symmetry_Int_Tables_number 33
_cell_length_a 4.965
_cell_length_b 6.323
_cell_length_c 5.225
_cell_angle_alpha 90.00
_cell_angle_beta 90.00
_cell_angle_gamma 90.00
loop_
_symmetry_equiv_pos_as_xyz
'x,y,z'
'-x,-y,z+1/2'
'-x+1/2,y+1/2,z+1/2'
'x+1/2,-y+1/2,z'
loop_
_atom_site_label
_atom_site_fract_x
_atom_site_fract_y
_atom_site_fract_z
V1 0.075 0.157 0.000
Si1 0.094 0.619 0.963
N1 0.058 0.592 0.299
N2 0.064 0.140 0.387
```

The formation energy without anion corrections is -2.5 eV/f.u.

---

no.,V (Å³/atom)
1,33.309
2,15.773
3,19.945
4,10.251